Record 1
Material: GdErGaGe
Method: DFT, GGA-PBE
State: relaxed

Structure (POSCAR):
```
GdErGaGe
1.0
7.155 0.000 0.000
0.000 7.155 0.000
0.000 0.000 7.155
Gd Er Ga Ge
4 4 4 4
direct
0.000 0.000 0.000
0.000 0.500 0.500
0.500 0.000 0.500
0.500 0.500 0.000
0.000 0.000 0.500
0.000 0.500 0.000
0.500 0.000 0.000
0.500 0.500 0.500
0.250 0.250 0.250
0.250 0.750 0.750
0.750 0.250 0.750
0.750 0.750 0.250
0.250 0.250 0.750
0.250 0.750 0.250
0.750 0.250 0.250
0.750 0.750 0.750
```

---

Record 2
Material: GdErGaIr
Method: DFT, GGA-PBE
State: relaxed

Structure (POSCAR):
```
GdErGaIr
1.0
7.011 0.000 0.000
0.000 7.011 0.000
0.000 0.000 7.011
Gd Er Ga Ir
4 4 4 4
direct
0.000 0.000 0.000
0.000 0.500 0.500
0.500 0.000 0.500
0.500 0.500 0.000
0.000 0.000 0.500
0.000 0.500 0.000
0.500 0.000 0.000
0.500 0.500 0.500
0.250 0.250 0.250
0.250 0.750 0.750
0.750 0.250 0.750
0.750 0.750 0.250
0.250 0.250 0.750
0.250 0.750 0.250
0.750 0.250 0.250
0.750 0.750 0.750
```

---

| no. | energy of formation (eV per atom) |
| --- | --- |
| 1 | -0.5868 |
| 2 | -0.6724 |